[1]
Compound: MgSeIBr2
Source: Alexandria
Functional: GGA-PBE
Structure: optimized geometry Values from VASP.

Summary:
- Density: 3574 kg/m3
- Size of the total moment: 0.11 Bohr magnetons per cell
- Space group: No. 123
- Formation energy from raw total energies: 0.2449 eV per atom
- Offset from the most stable computed form: 2.84 eV/f.u.

```
&SYSTEM
  ibrav = 0, nat = 5, ntyp = 4
/
ATOMIC_SPECIES
Mg 24.30 Mg.upf
Se 78.96 Se.upf
I 126.90 I.upf
Br 79.90 Br.upf
CELL_PARAMETERS angstrom
5.7468 0.0000 0.0000
0.0000 5.7468 0.0000
0.0000 0.0000 5.4855
ATOMIC_POSITIONS angstrom
Mg 0.0000 0.0000 0.0000
Se 2.8734 2.8734 0.0000
I 2.8734 2.8734 2.7428
Br 0.0000 2.8734 2.7428
Br 2.8734 0.0000 2.7428
```

=====

[2]
Compound: YTlTe2
Source: Alexandria
Functional: GGA-PBE
Structure: optimized geometry Values from VASP.

Summary:
- Density: 6576 kg/m3
- Size of the total moment: 0.00 Bohr magnetons per cell
- Space group: No. 15
- Formation energy from raw total energies: -0.9357 eV per atom

```
&SYSTEM
  ibrav = 0, nat = 32, ntyp = 3
/
ATOMIC_SPECIES
Y 88.91 Y.upf
Tl 204.38 Tl.upf
Te 127.60 Te.upf
CELL_PARAMETERS angstrom
6.1973 -5.5153 0.0000
6.1973 5.5153 0.0000
-5.9067 0.0000 16.2095
ATOMIC_POSITIONS angstrom
Y 1.0453 3.2349 10.0675
Y 1.6367 -0.0032 2.8909
Y -1.3166 0.0032 10.9956
Y 2.4892 3.2349 14.2467
Y 3.9986 -3.2349 1.9628
Y 7.8045 -0.0032 5.2139
Y 4.8511 0.0032 13.3186
Y 5.4426 -3.2349 6.1419
Tl 4.4060 2.4468 1.9770
Tl -0.9640 1.0938 14.1402
Tl 5.0352 2.4468 6.1277
Tl 1.9893 -1.0938 6.0354
Tl 4.4985 1.0938 10.1740
Tl 1.4527 -2.4468 10.0817
Tl 7.4519 -1.0938 2.0693
Tl 2.0818 -2.4468 14.2325
Te 1.7673 5.4662 12.1571
Te 2.0550 2.4324 4.8022
Te -0.2111 3.7439 15.4941
Te 3.7456 3.7439 8.8201
Te 0.4943 0.6906 8.5049
Te 3.4477 -0.6906 0.4001
Te 1.7673 0.9680 12.1571
Te 7.3862 2.4324 3.3025
Te -0.8983 -2.4324 12.9069
Te 4.7206 -0.9680 4.0524
Te 3.0402 0.6906 15.8093
Te 5.9935 -0.6906 7.7046
Te 2.7423 -3.7439 7.3894
Te 6.6990 -3.7439 0.7153
Te 4.4328 -2.4324 11.4073
Te 4.7206 -5.4662 4.0524
```

=====

[3]
Compound: SrLaRe2
Source: Alexandria
Functional: GGA-PBE
Structure: optimized geometry Values from VASP.

Summary:
- Density: 9736 kg/m3
- Size of the total moment: 0.00 Bohr magnetons per cell
- ΔH_f (0 K): 362.1 meV per atom
- Space group: No. 99
- Offset from the most stable computed form: 0.55 eV/f.u.

```
&SYSTEM
  ibrav = 0, nat = 4, ntyp = 3
/
ATOMIC_SPECIES
Sr 87.62 Sr.upf
La 138.91 La.upf
Re 186.21 Re.upf
CELL_PARAMETERS angstrom
3.2488 0.0000 0.0000
0.0000 3.2488 0.0000
0.0000 0.0000 9.6780
ATOMIC_POSITIONS angstrom
Sr 0.0000 0.0000 0.0000
La 1.6244 1.6244 3.7985
Re 0.0000 0.0000 6.0563
Re 1.6244 1.6244 7.2882
```

=====

Q: density of number 1 (MgSeIBr2)?
A: 3574 kg/m3

=====

Q: size of the total moment of number 2 (YTlTe2)?
A: 0.00 Bohr magnetons per cell

=====

Q: The lowest density belongs to which entry?
A: MgSeIBr2